The following is a DFT calculation (PBE) of a relaxed structure of MnNb4Re3.

Properties
- Calculated formation energy: -0.225 eV/atom
- Symmetry: P4/mmm (123)

Unit cell a=3.182 b=3.182 c=12.706 alpha=90.00 beta=90.00 gamma=90.00
Fractional positions:
Mn (0.500, 0.500, 0.000)
Nb (0.000, 0.000, 0.373)
Nb (0.000, 0.000, 0.627)
Nb (0.000, 0.000, 0.881)
Nb (0.000, 0.000, 0.119)
Re (0.500, 0.500, 0.500)
Re (0.500, 0.500, 0.754)
Re (0.500, 0.500, 0.246)